# 1
{"formula": "AgHg2Au2", "functional": "PBE", "state": "relaxed", "lattice_angstrom": [[-2.1262, 2.1262, 6.2354], [2.1262, -2.1262, 6.2354], [2.1262, 2.1262, -6.2354]], "species": ["Ag", "Hg", "Hg", "Au", "Au"], "fractional_positions": [[0.0000, 0.0000, 0.0000], [0.2500, 0.7500, 0.5000], [0.7500, 0.2500, 0.5000], [0.3973, 0.3973, 0.0000], [0.6027, 0.6027, 0.0000]], "spacegroup": "No. 139", "polymorph_energy_mev_per_atom": 21, "formation_energy_ev_per_atom": 0.240}

=====

# 2
{"formula": "AgHgAu2", "functional": "PBE", "state": "relaxed", "lattice_angstrom": [[0.0000, 3.3508, 3.3508], [3.3508, 0.0000, 3.3508], [3.3508, 3.3508, 0.0000]], "species": ["Ag", "Hg", "Au", "Au"], "fractional_positions": [[0.0000, 0.0000, 0.0000], [0.7500, 0.7500, 0.7500], [0.2500, 0.2500, 0.2500], [0.5000, 0.5000, 0.5000]], "spacegroup": "No. 216", "formation_energy_ev_per_atom": 0.034}

=====

# 3
{"formula": "NdHo2AgHg3Au2", "functional": "PBE", "state": "relaxed", "lattice_angstrom": [[3.8051, 0.0000, 0.0000], [0.0000, 6.9552, 3.9753], [0.0000, -6.9552, 3.9753]], "species": ["Nd", "Ho", "Ho", "Ag", "Hg", "Hg", "Hg", "Au", "Au"], "fractional_positions": [[0.0000, 0.0000, 0.0000], [0.0000, 0.1898, 0.5961], [0.0000, 0.5961, 0.1898], [0.0000, 0.5938, 0.5938], [0.5000, 0.3290, 0.3290], [0.5000, 0.5949, 0.8647], [0.5000, 0.8647, 0.5949], [0.5000, 0.2686, 0.9283], [0.5000, 0.9283, 0.2686]], "spacegroup": "No. 38", "formation_energy_ev_per_atom": -0.578}

=====

# 4
{"formula": "Pr2HoAgHg3Au2", "functional": "PBE", "state": "relaxed", "lattice_angstrom": [[3.8857, 0.0000, 0.0000], [0.0000, 6.9397, 4.0379], [0.0000, -6.9397, 4.0379]], "species": ["Pr", "Pr", "Ho", "Ag", "Hg", "Hg", "Hg", "Au", "Au"], "fractional_positions": [[0.0000, 0.2026, 0.7974], [0.0000, 0.7974, 0.2026], [0.0000, 0.3885, 0.3885], [0.0000, 0.7936, 0.7936], [0.5000, 0.0637, 0.0637], [0.5000, 0.5314, 0.7958], [0.5000, 0.7958, 0.5314], [0.5000, 0.1384, 0.4617], [0.5000, 0.4617, 0.1384]], "spacegroup": "No. 38", "formation_energy_ev_per_atom": -0.576}

=====

# 5
{"formula": "Y3InAgHg2Au2", "functional": "PBE", "state": "relaxed", "lattice_angstrom": [[3.8205, 0.0000, 0.0000], [0.0000, 6.8810, 3.9533], [0.0000, -6.8810, 3.9533]], "species": ["Y", "Y", "Y", "In", "Ag", "Hg", "Hg", "Au", "Au"], "fractional_positions": [[0.0000, 0.0000, 0.0000], [0.0000, 0.2005, 0.6143], [0.0000, 0.6143, 0.2005], [0.5000, 0.3416, 0.3416], [0.0000, 0.6005, 0.6005], [0.5000, 0.6025, 0.8732], [0.5000, 0.8732, 0.6025], [0.5000, 0.2733, 0.9484], [0.5000, 0.9484, 0.2733]], "spacegroup": "No. 38", "total_energy_ev_per_cell": -37.7}

=====

# 6
{"formula": "LaAgHgAu", "functional": "PBE", "state": "relaxed", "lattice_angstrom": [[0.0000, 3.6099, 3.6099], [3.6099, 0.0000, 3.6099], [3.6099, 3.6099, 0.0000]], "species": ["La", "Ag", "Hg", "Au"], "fractional_positions": [[0.0000, 0.0000, 0.0000], [0.7500, 0.7500, 0.7500], [0.2500, 0.2500, 0.2500], [0.5000, 0.5000, 0.5000]], "spacegroup": "No. 216", "polymorph_energy_mev_per_atom": 87, "formation_energy_ev_per_atom": -0.389}